Entry 1:
This record from Alexandria describes a PBEsol-optimized structure of TlFe2Os. The functional is meta-GGA SCAN.

## Properties
- Formation energy from the elements: 0.61 eV per atom
- SG: R-3m (166)
- E above lowest polymorph: 62.7 meV/atom

abc: 2.7999 2.7999 8.7401
angles: 80.78 80.78 60.00
Last column: nearest neighbours and their distance in Å.
Sites, in units of the cell vectors:
Fe 0.2436 0.2436 0.2691  3 Os 2.56, 6 Fe 2.80, 3 Tl 2.82
Fe 0.7564 0.7564 0.7309  3 Os 2.56, 6 Fe 2.80, 3 Tl 2.82
Os 0.5000 0.5000 0.5000  6 Fe 2.56, 6 Os 2.80
Tl 0.0000 0.0000 0.0000  6 Tl 2.80, 6 Fe 2.82

=====

Entry 2:
This record from Alexandria describes a PBEsol-optimized structure of Te2PAu. The functional is meta-GGA SCAN.

## Properties
- Uncorrected formation energy: 37 meV/atom
- SG: P4/mmm (123)

abc: 4.0078 4.0078 5.6201
angles: 90.00 90.00 90.00
Last column: nearest neighbours and their distance in Å.
Sites, in units of the cell vectors:
Au 0.0000 0.0000 0.3750  6 Te 2.81-2.83
P 0.5000 0.5000 0.8750  6 Te 2.81-2.83
Te 0.0000 0.0000 0.8750  2 Au 2.81, 4 P 2.83
Te 0.5000 0.5000 0.3750  2 P 2.81, 4 Au 2.83

=====

Entry 3:
This record from Alexandria describes a PBEsol-optimized structure of Er5BiAu2. The functional is meta-GGA SCAN.

## Properties
- Formation energy from the elements: -0.91 eV per atom
- SG: I4/mcm (140)

abc: 7.9385 8.5190 7.9385
angles: 117.77 90.00 117.77
Last column: nearest neighbours and their distance in Å.
Sites, in units of the cell vectors:
Er 0.5000 0.0000 0.5000  4 Au 3.08, 2 Bi 3.20
Er 0.0000 0.0000 0.0000  4 Au 3.08, 2 Bi 3.20
Er 0.4863 0.2813 0.2950  3 Au 2.94-2.95
Er 0.7950 0.2813 0.9863  3 Au 2.94-2.95
Er 0.9863 0.2813 0.4863  3 Au 2.94-2.95
Er 0.2950 0.2813 0.7950  3 Au 2.94-2.95
Er 0.5137 0.7187 0.7050  3 Au 2.94-2.95
Er 0.2050 0.7187 0.0137  3 Au 2.94-2.95
Er 0.0137 0.7187 0.5137  3 Au 2.94-2.95
Er 0.7050 0.7187 0.2050  3 Au 2.94-2.95
Bi 0.7500 0.5000 0.7500  10 Er 3.20-3.32
Bi 0.2500 0.5000 0.2500  10 Er 3.20-3.32
Au 0.8624 0.0000 0.6376  8 Er 2.94-3.08, 1 Au 3.09
Au 0.1376 0.0000 0.3624  8 Er 2.94-3.08, 1 Au 3.09
Au 0.3624 0.0000 0.8624  8 Er 2.94-3.08, 1 Au 3.09
Au 0.6376 0.0000 0.1376  8 Er 2.94-3.08, 1 Au 3.09

=====

Entry 4:
This record from Alexandria describes a PBEsol-optimized structure of CrAg2W. The functional is meta-GGA SCAN.

## Properties
- Formation energy from the elements: 0.81 eV per atom
- SG: P4/mmm (123)
- E above lowest polymorph: 179.9 meV/atom

abc: 2.8311 4.7653 4.7653
angles: 90.00 90.00 90.00
Last column: nearest neighbours and their distance in Å.
Sites, in units of the cell vectors:
Ag 0.0000 0.0000 0.5000  4 Cr 2.77, 4 W 2.77, 2 Ag 2.83
Ag 0.0000 0.5000 0.0000  4 Cr 2.77, 4 W 2.77, 2 Ag 2.83
Cr 0.5000 0.5000 0.5000  8 Ag 2.77, 2 Cr 2.83
W 0.5000 0.0000 0.0000  8 Ag 2.77, 2 W 2.83

=====

Entry 5:
This record from Alexandria describes a PBEsol-optimized structure of YTc3Te. The functional is meta-GGA SCAN.

## Properties
- Uncorrected formation energy: 1002 meV/atom
- SG: Pm-3m (221)

abc: 4.7829 4.7829 4.7829
angles: 90.00 90.00 90.00
Last column: nearest neighbours and their distance in Å.
Sites, in units of the cell vectors:
Y 0.5000 0.5000 0.5000  12 Tc 3.38
Te 0.0000 0.0000 0.0000  6 Tc 2.39
Tc 0.0000 0.5000 0.0000  2 Te 2.39
Tc 0.0000 0.0000 0.5000  2 Te 2.39
Tc 0.5000 0.0000 0.0000  2 Te 2.39

=====

Entry 6:
This record from Alexandria describes a PBEsol-optimized structure of LuAl2Pd5. The functional is meta-GGA SCAN.

## Properties
- Formation energy from the elements: -1.09 eV per atom
- SG: I4/mmm (139)

abc: 4.0505 4.0505 7.8751
angles: 104.90 104.90 90.00
Last column: nearest neighbours and their distance in Å.
Sites, in units of the cell vectors:
Lu 0.0000 0.0000 0.0000  12 Pd 2.86-2.90
Al 0.7470 0.7470 0.4939  8 Pd 2.55-2.60
Al 0.2530 0.2530 0.5061  8 Pd 2.55-2.60
Pd 0.3586 0.8586 0.7172  4 Al 2.55-2.60
Pd 0.6414 0.1414 0.2828  4 Al 2.55-2.60
Pd 0.8586 0.3586 0.7172  4 Al 2.55-2.60
Pd 0.1414 0.6414 0.2828  4 Al 2.55-2.60
Pd 0.5000 0.5000 0.0000  4 Lu 2.86, 8 Pd 2.90

=====

Entry 7:
This record from Alexandria describes a PBEsol-optimized structure of SrNi5As3. The functional is meta-GGA SCAN.

## Properties
- Formation energy from the elements: -0.57 eV per atom
- SG: Cmcm (63)

abc: 3.7092 6.3148 11.7789
angles: 90.00 90.00 107.08
Last column: nearest neighbours and their distance in Å.
Sites, in units of the cell vectors:
Sr 0.8354 0.6707 0.2500  7 As 3.13-3.35, 8 Ni 3.32-3.40
Sr 0.1646 0.3293 0.7500  7 As 3.13-3.35, 8 Ni 3.32-3.40
Ni 0.8070 0.6140 0.5669  4 As 2.27-2.41, 1 Ni 2.46
Ni 0.1930 0.3860 0.0669  4 As 2.27-2.41, 1 Ni 2.46
Ni 0.0000 0.0000 0.5000  4 As 2.41, 6 Ni 2.46-2.58
Ni 0.0000 0.0000 0.0000  4 As 2.41, 6 Ni 2.46-2.58
Ni 0.4517 0.9035 0.8554  4 As 2.36-2.38, 3 Ni 2.48-2.58
Ni 0.5483 0.0965 0.1446  4 As 2.36-2.38, 3 Ni 2.48-2.58
Ni 0.5483 0.0965 0.3554  4 As 2.36-2.38, 3 Ni 2.48-2.58
Ni 0.8070 0.6140 0.9331  4 As 2.27-2.41, 1 Ni 2.46
Ni 0.1930 0.3860 0.4331  4 As 2.27-2.41, 1 Ni 2.46
Ni 0.4517 0.9035 0.6446  4 As 2.36-2.38, 3 Ni 2.48-2.58
As 0.3790 0.7580 0.0410  7 Ni 2.27-2.41
As 0.8872 0.7744 0.7500  6 Ni 2.36
As 0.3790 0.7580 0.4590  7 Ni 2.27-2.41
As 0.6210 0.2420 0.5410  7 Ni 2.27-2.41
As 0.1128 0.2256 0.2500  6 Ni 2.36
As 0.6210 0.2420 0.9590  7 Ni 2.27-2.41

=====

Entry 8:
This record from Alexandria describes a PBEsol-optimized structure of YMn2Co. The functional is meta-GGA SCAN.

## Properties
- Formation energy from the elements: 0.36 eV per atom
- SG: C2/m (12)
- E above lowest polymorph: 357.1 meV/atom

abc: 2.8255 4.7032 5.1352
angles: 115.11 102.67 97.00
Last column: nearest neighbours and their distance in Å.
Sites, in units of the cell vectors:
Co 0.0000 0.5000 0.0000  4 Y 2.59-2.89, 4 Mn 2.65, 2 Co 2.83
Mn 0.0000 0.0000 0.5000  6 Mn 2.59-2.89, 2 Y 2.65, 2 Co 2.65
Mn 0.5000 0.5000 0.5000  6 Mn 2.59-2.89, 2 Co 2.65, 2 Y 2.65
Y 0.5000 0.0000 0.0000  4 Co 2.59-2.89, 4 Mn 2.65, 2 Y 2.83

=====

Entry 9:
This record from Alexandria describes a PBEsol-optimized structure of ReSbSe. The functional is meta-GGA SCAN.

## Properties
- Uncorrected formation energy: 901 meV/atom
- SG: Imm2 (44)
- E above lowest polymorph: 0.0 meV/atom

abc: 3.1950 4.1477 4.8891
angles: 115.10 109.07 90.00
Last column: nearest neighbours and their distance in Å.
Sites, in units of the cell vectors:
Re 0.0155 0.0155 0.0310  1 Se 2.57, 4 Sb 2.87
Se 0.3261 0.3261 0.6522  1 Re 2.57, 1 Sb 2.74
Sb 0.6584 0.6584 0.3168  5 Se 2.74-2.96, 5 Re 2.87-2.95

=====

Entry 10:
This record from Alexandria describes a PBEsol-optimized structure of AsIr2Rh. The functional is meta-GGA SCAN.

## Properties
- Formation energy from the elements: 0.17 eV per atom
- SG: Pmmm (47)

abc: 2.7430 4.5720 4.6074
angles: 90.00 90.00 90.00
Last column: nearest neighbours and their distance in Å.
Sites, in units of the cell vectors:
As 0.0000 0.5000 0.5000  4 Rh 2.67, 4 Ir 2.68, 2 As 2.74
Ir 0.0000 0.0000 0.0000  6 Ir 2.67-2.74, 4 Rh 2.68
Ir 0.5000 0.5000 0.0000  6 Ir 2.67-2.74, 4 As 2.68
Rh 0.5000 0.0000 0.5000  4 As 2.67, 4 Ir 2.68, 2 Rh 2.74

=====

Entry 11:
This record from Alexandria describes a PBEsol-optimized structure of KEuPdO3. The functional is meta-GGA SCAN.

## Properties
- Uncorrected formation energy: -1927 meV/atom
- SG: C2/m (12)

abc: 3.8961 6.8141 7.3305
angles: 104.01 90.00 106.61
Last column: nearest neighbours and their distance in Å.
Sites, in units of the cell vectors:
K 0.3561 0.7122 0.4361  7 O 2.62-2.92
K 0.6439 0.2878 0.5639  7 O 2.62-2.92
Eu 0.6520 0.3040 0.0772  7 O 2.30-2.52
Eu 0.3480 0.6960 0.9228  7 O 2.30-2.52
Pd 0.9943 0.9885 0.2205  4 O 1.96-2.03
Pd 0.0057 0.0115 0.7795  4 O 1.96-2.03
O 0.8338 0.6675 0.1341  1 Pd 2.03
O 0.8480 0.6959 0.7208  1 Pd 2.00
O 0.4939 0.9877 0.1940  2 Pd 1.96
O 0.5061 0.0123 0.8060  2 Pd 1.96
O 0.1662 0.3325 0.8659  1 Pd 2.03
O 0.1520 0.3041 0.2792  1 Pd 2.00

=====

Entry 12:
This record from Alexandria describes a PBEsol-optimized structure of RbCoHg2. The functional is meta-GGA SCAN.

## Properties
- Formation energy from the elements: 0.53 eV per atom
- SG: Fm-3m (225)

abc: 5.1792 5.1792 5.1792
angles: 60.00 60.00 60.00
Last column: nearest neighbours and their distance in Å.
Sites, in units of the cell vectors:
Co 0.0000 0.0000 0.0000  8 Hg 3.17
Hg 0.2500 0.2500 0.2500  4 Co 3.17, 4 Rb 3.17
Hg 0.7500 0.7500 0.7500  4 Co 3.17, 4 Rb 3.17
Rb 0.5000 0.5000 0.5000  8 Hg 3.17

=====

Entry 13:
This record from Alexandria describes a PBEsol-optimized structure of KNa3Hg. The functional is meta-GGA SCAN.

## Properties
- Formation energy from the elements: -0.13 eV per atom
- SG: Pm-3m (221)

abc: 5.8882 5.8882 5.8882
angles: 90.00 90.00 90.00
Last column: nearest neighbours and their distance in Å.
Sites, in units of the cell vectors:
Na 0.0000 0.5000 0.0000  2 Hg 2.94
Na 0.0000 0.0000 0.5000  2 Hg 2.94
Na 0.5000 0.0000 0.0000  2 Hg 2.94
K 0.5000 0.5000 0.5000  12 Na 4.16
Hg 0.0000 0.0000 0.0000  6 Na 2.94

=====

Entry 14:
This record from Alexandria describes a PBEsol-optimized structure of CuNi2Ir. The functional is meta-GGA SCAN.

## Properties
- Formation energy from the elements: 0.11 eV per atom
- SG: P4mm (99)

abc: 2.5977 2.5977 6.9159
angles: 90.00 90.00 90.00
Last column: nearest neighbours and their distance in Å.
Sites, in units of the cell vectors:
Cu 0.0000 0.0000 0.4853  4 Ni 2.48, 4 Cu 2.60, 4 Ir 2.64
Ir 0.5000 0.5000 0.7586  4 Ni 2.54, 4 Ir 2.60, 4 Cu 2.64
Ni 0.0000 0.0000 0.0118  8 Ni 2.44-2.60, 4 Ir 2.54
Ni 0.5000 0.5000 0.2442  8 Ni 2.44-2.60, 4 Cu 2.48

=====

Entry 15:
This record from Alexandria describes a PBEsol-optimized structure of NbIr3Br. The functional is meta-GGA SCAN.

## Properties
- Uncorrected formation energy: 2026 meV/atom
- SG: Pm-3m (221)

abc: 4.7730 4.7730 4.7730
angles: 90.00 90.00 90.00
Last column: nearest neighbours and their distance in Å.
Sites, in units of the cell vectors:
Nb 0.0000 0.0000 0.0000  6 Ir 2.39
Ir 0.0000 0.5000 0.0000  2 Nb 2.39
Ir 0.0000 0.0000 0.5000  2 Nb 2.39
Ir 0.5000 0.0000 0.0000  2 Nb 2.39
Br 0.5000 0.5000 0.5000  12 Ir 3.37

=====

Entry 16:
This record from Alexandria describes a PBEsol-optimized structure of MnTl2PtPb. The functional is meta-GGA SCAN.

## Properties
- Formation energy from the elements: 0.82 eV per atom
- SG: P4/mmm (123)

abc: 5.0430 5.7241 5.7241
angles: 90.00 90.00 90.00
Last column: nearest neighbours and their distance in Å.
Sites, in units of the cell vectors:
Pb 0.0000 0.0000 0.0000  2 Pt 2.52
Tl 0.0000 0.0000 0.5000  2 Pb 2.86
Tl 0.0000 0.5000 0.0000  2 Pb 2.86
Mn 0.5000 0.5000 0.5000  8 Tl 3.81, 4 Pt 4.05
Pt 0.5000 0.0000 0.0000  2 Pb 2.52

=====

Entry 17:
This record from Alexandria describes a PBEsol-optimized structure of KC2. The functional is meta-GGA SCAN.

## Properties
- Formation energy from the elements: 1.23 eV per atom
- SG: I4/mmm (139)
- E above lowest polymorph: 793.8 meV/atom

abc: 4.2973 4.7298 4.2973
angles: 62.98 90.00 117.02
Last column: nearest neighbours and their distance in Å.
Sites, in units of the cell vectors:
K 0.0000 0.0000 0.0000  10 C 2.99-3.10
C 0.5872 0.1744 0.4128  1 C 1.26
C 0.4128 0.8256 0.5872  1 C 1.26

=====

Entry 18:
This record from Alexandria describes a PBEsol-optimized structure of DyTa5Ag2O15. The functional is meta-GGA SCAN.

## Properties
- Uncorrected formation energy: -2751 meV/atom
- SG: P4/mbm (127)

abc: 3.8847 12.4490 12.4490
angles: 90.00 90.00 90.00
Last column: nearest neighbours and their distance in Å.
Sites, in units of the cell vectors:
Dy 0.5000 0.0000 0.0000  12 O 2.52-2.62
Dy 0.5000 0.5000 0.5000  12 O 2.52-2.62
Ta 0.0000 0.5000 0.0000  6 O 1.94-1.99
Ta 0.0000 0.0000 0.5000  6 O 1.94-1.99
Ta 0.0000 0.2093 0.0812  6 O 1.93-1.99
Ta 0.0000 0.7907 0.9188  6 O 1.93-1.99
Ta 0.0000 0.0812 0.7907  6 O 1.93-1.99
Ta 0.0000 0.7093 0.4188  6 O 1.93-1.99
Ta 0.0000 0.9188 0.2093  6 O 1.93-1.99
Ta 0.0000 0.2907 0.5812  6 O 1.93-1.99
Ta 0.0000 0.5812 0.7093  6 O 1.93-1.99
Ta 0.0000 0.4188 0.2907  6 O 1.93-1.99
Ag 0.5000 0.6570 0.1570  7 O 2.74-2.83
Ag 0.5000 0.3430 0.8430  7 O 2.74-2.83
Ag 0.5000 0.1570 0.3430  7 O 2.74-2.83
Ag 0.5000 0.8430 0.6570  7 O 2.74-2.83
O 0.5000 0.1867 0.0785  2 Ta 1.96
O 0.5000 0.8133 0.9215  2 Ta 1.96
O 0.5000 0.0785 0.8133  2 Ta 1.96
O 0.5000 0.6867 0.4215  2 Ta 1.96
O 0.5000 0.9215 0.1867  2 Ta 1.96
O 0.5000 0.3133 0.5785  2 Ta 1.96
O 0.5000 0.5785 0.6867  2 Ta 1.96
O 0.5000 0.4215 0.3133  2 Ta 1.96
O 0.0000 0.2258 0.7258  2 Ta 1.97
O 0.0000 0.7742 0.2742  2 Ta 1.97
O 0.0000 0.7258 0.7742  2 Ta 1.97
O 0.0000 0.2742 0.2258  2 Ta 1.97
O 0.5000 0.5000 0.0000  2 Ta 1.94
O 0.5000 0.0000 0.5000  2 Ta 1.94
O 0.0000 0.0571 0.1298  2 Ta 1.99
O 0.0000 0.9429 0.8702  2 Ta 1.99
O 0.0000 0.1298 0.9429  2 Ta 1.99
O 0.0000 0.5571 0.3702  2 Ta 1.99
O 0.0000 0.8702 0.0571  2 Ta 1.99
O 0.0000 0.4429 0.6298  2 Ta 1.99
O 0.0000 0.6298 0.5571  2 Ta 1.99
O 0.0000 0.3702 0.4429  2 Ta 1.99
O 0.0000 0.3405 0.9983  2 Ta 1.93-1.99
O 0.0000 0.6595 0.0017  2 Ta 1.93-1.99
O 0.0000 0.9983 0.6595  2 Ta 1.93-1.99
O 0.0000 0.8405 0.5017  2 Ta 1.93-1.99
O 0.0000 0.0017 0.3405  2 Ta 1.93-1.99
O 0.0000 0.1595 0.4983  2 Ta 1.93-1.99
O 0.0000 0.4983 0.8405  2 Ta 1.93-1.99
O 0.0000 0.5017 0.1595  2 Ta 1.93-1.99

=====

Entry 19:
This record from Alexandria describes a PBEsol-optimized structure of MnSbTe2Ru. The functional is meta-GGA SCAN.

## Properties
- Uncorrected formation energy: 991 meV/atom
- SG: P4/mmm (123)
- E above lowest polymorph: 188.5 meV/atom

abc: 4.7886 4.8662 4.8662
angles: 90.00 90.00 90.00
Last column: nearest neighbours and their distance in Å.
Sites, in units of the cell vectors:
Sb 0.5000 0.0000 0.0000  2 Mn 2.39
Te 0.0000 0.0000 0.5000  2 Mn 2.43
Te 0.0000 0.5000 0.0000  2 Mn 2.43
Mn 0.0000 0.0000 0.0000  2 Sb 2.39, 4 Te 2.43
Ru 0.5000 0.5000 0.5000  8 Te 3.41, 4 Sb 3.44

=====

Entry 20:
This record from Alexandria describes a PBEsol-optimized structure of La3MgH. The functional is meta-GGA SCAN.

## Properties
- SG: Pm-3m (221)

abc: 5.0718 5.0718 5.0718
angles: 90.00 90.00 90.00
Last column: nearest neighbours and their distance in Å.
Sites, in units of the cell vectors:
H 0.0000 0.0000 0.0000  6 La 2.54
Mg 0.5000 0.5000 0.5000  12 La 3.59
La 0.0000 0.5000 0.0000  2 H 2.54
La 0.0000 0.0000 0.5000  2 H 2.54
La 0.5000 0.0000 0.0000  2 H 2.54

=====

Listing calculated total energy for the structures above in their given order: -178.08, -153.91, -951.71, -147.57, -165.26, -243.42, -337.71, -80.21, -125.73, -195.49, -250.14, -172.27, -89.78, -118.22, -255.76, -304.84, -24.85, -1200.36, -159.89, -138.75 eV for the cell shown.